DFT (PBE-GGA) results for a relaxed Ba3Cl5 crystal.

Geometry as CIF:
```
data_Ba3Cl5
_cell_length_a 8.642
_cell_length_b 12.642
_cell_length_c 4.834
_cell_angle_alpha 90.00
_cell_angle_beta 90.00
_cell_angle_gamma 90.00
_symmetry_space_group_name_H-M 'C m m m'
_symmetry_Int_Tables_number 65
_symmetry_space_group_name_Hall '-C 2 2'
loop_
_atom_site_label
_atom_site_fract_x
_atom_site_fract_y
_atom_site_fract_z
Ba1 0.000 0.000 0.000
Ba2 0.000 0.339 0.500
Cl1 0.000 0.500 0.000
Cl2 0.217 0.000 0.500
Cl3 0.250 0.250 0.000
```

Output
Fermi-level density of states	3.8	states/eV/f.u.
theoretical density	3.7	Mg/m³
uncorrected energy	-4.099	eV/atom


DFT (PBE-GGA) results for a relaxed Ba2Cl crystal.

Geometry as CIF:
```
data_Ba2Cl
_cell_length_a 6.3343
_cell_length_b 6.3343
_cell_length_c 3.7081
_cell_angle_alpha 90.00
_cell_angle_beta 90.00
_cell_angle_gamma 120.00
_symmetry_space_group_name_H-M 'P 6/m m m'
_symmetry_Int_Tables_number 191
_symmetry_space_group_name_Hall '-P 6 2'
loop_
_atom_site_label
_atom_site_fract_x
_atom_site_fract_y
_atom_site_fract_z
Ba1 0.3333 0.6667 0.0000
Cl1 0.0000 0.0000 0.5000
```

Output
Fermi-level density of states	3.5	states/eV/f.u.
theoretical density	4.0	Mg/m³
uncorrected energy	-2.193	eV/atom


DFT (PBE-GGA) results for a relaxed BaCl3 crystal.

Geometry as CIF:
```
data_BaCl3
_cell_length_a 6.168
_cell_length_b 6.168
_cell_length_c 6.168
_cell_angle_alpha 90.00
_cell_angle_beta 90.00
_cell_angle_gamma 90.00
_symmetry_space_group_name_H-M 'P m -3 m'
_symmetry_Int_Tables_number 221
_symmetry_space_group_name_Hall '-P 4 2 3'
loop_
_atom_site_label
_atom_site_fract_x
_atom_site_fract_y
_atom_site_fract_z
Ba1 0.000 0.000 0.000
Cl1 0.000 0.000 0.500
```

Output
Fermi-level density of states	10.4	states/eV/f.u.
theoretical density	1.7	Mg/m³
uncorrected energy	-3.378	eV/atom


DFT (PBE-GGA) results for a relaxed Ba2Cl crystal.

Geometry as CIF:
```
data_Ba2Cl
_cell_length_a 4.419
_cell_length_b 17.538
_cell_length_c 7.913
_cell_angle_alpha 90.00
_cell_angle_beta 90.00
_cell_angle_gamma 90.00
_symmetry_space_group_name_H-M 'C m c m'
_symmetry_Int_Tables_number 63
_symmetry_space_group_name_Hall '-C 2c 2'
loop_
_atom_site_label
_atom_site_fract_x
_atom_site_fract_y
_atom_site_fract_z
Ba1 0.000 0.077 0.250
Ba2 0.000 0.190 0.750
Cl1 0.000 0.447 0.250
```

Output
Fermi-level density of states	3.6	states/eV/f.u.
theoretical density	3.4	Mg/m³
uncorrected energy	-2.897	eV/atom


DFT (PBE-GGA) results for a relaxed BaCl2 crystal.

Geometry as CIF:
```
data_BaCl2
_cell_length_a 5.3127
_cell_length_b 5.3127
_cell_length_c 7.1643
_cell_angle_alpha 90.00
_cell_angle_beta 90.00
_cell_angle_gamma 120.00
_symmetry_space_group_name_H-M 'P 63/m m c'
_symmetry_Int_Tables_number 194
_symmetry_space_group_name_Hall '-P 6c 2c'
loop_
_atom_site_label
_atom_site_fract_x
_atom_site_fract_y
_atom_site_fract_z
Ba1 0.3333 0.6667 0.2500
Cl1 0.0000 0.0000 0.0000
Cl2 0.3333 0.6667 0.7500
```

Output
Fermi-level density of states	0.0	states/eV/f.u.
theoretical density	3.9	Mg/m³
uncorrected energy	-4.294	eV/atom


DFT (PBE-GGA) results for a relaxed Ba2Cl crystal.

Geometry as CIF:
```
data_Ba2Cl
_cell_length_a 4.5223
_cell_length_b 4.5223
_cell_length_c 7.8236
_cell_angle_alpha 90.00
_cell_angle_beta 90.00
_cell_angle_gamma 120.00
_symmetry_space_group_name_H-M 'P -3 m 1'
_symmetry_Int_Tables_number 164
_symmetry_space_group_name_Hall '-P 3 2"'
loop_
_atom_site_label
_atom_site_fract_x
_atom_site_fract_y
_atom_site_fract_z
Ba1 0.3333 0.6667 0.2297
Cl1 0.0000 0.0000 0.5000
```

Output
Fermi-level density of states	1.9	states/eV/f.u.
theoretical density	3.7	Mg/m³
uncorrected energy	-3.042	eV/atom


DFT (PBE-GGA) results for a relaxed Ba2Cl crystal.

Geometry as CIF:
```
data_Ba2Cl
_cell_length_a 4.426
_cell_length_b 18.050
_cell_length_c 6.803
_cell_angle_alpha 90.00
_cell_angle_beta 90.00
_cell_angle_gamma 90.00
_symmetry_space_group_name_H-M 'C m c m'
_symmetry_Int_Tables_number 63
_symmetry_space_group_name_Hall '-C 2c 2'
loop_
_atom_site_label
_atom_site_fract_x
_atom_site_fract_y
_atom_site_fract_z
Ba1 0.000 0.059 0.250
Ba2 0.000 0.335 0.250
Cl1 0.000 0.303 0.750
```

Output
Fermi-level density of states	3.5	states/eV/f.u.
theoretical density	3.8	Mg/m³
uncorrected energy	-3.034	eV/atom


DFT (PBE-GGA) results for a relaxed BaCl3 crystal.

Geometry as CIF:
```
data_BaCl3
_cell_length_a 7.633
_cell_length_b 7.633
_cell_length_c 7.633
_cell_angle_alpha 90.00
_cell_angle_beta 90.00
_cell_angle_gamma 90.00
_symmetry_space_group_name_H-M 'F m -3 m'
_symmetry_Int_Tables_number 225
_symmetry_space_group_name_Hall '-F 4 2 3'
loop_
_atom_site_label
_atom_site_fract_x
_atom_site_fract_y
_atom_site_fract_z
Ba1 0.000 0.000 0.000
Cl1 0.000 0.000 0.500
Cl2 0.250 0.250 0.250
```

Output
Fermi-level density of states	9.6	states/eV/f.u.
theoretical density	3.6	Mg/m³
uncorrected energy	-3.470	eV/atom


DFT (PBE-GGA) results for a relaxed Ba2Cl crystal.

Geometry as CIF:
```
data_Ba2Cl
_cell_length_a 10.3632
_cell_length_b 10.3632
_cell_length_c 4.3181
_cell_angle_alpha 90.00
_cell_angle_beta 90.00
_cell_angle_gamma 120.00
_symmetry_space_group_name_H-M 'P -6 2 m'
_symmetry_Int_Tables_number 189
_symmetry_space_group_name_Hall 'P -6 -2'
loop_
_atom_site_label
_atom_site_fract_x
_atom_site_fract_y
_atom_site_fract_z
Ba1 0.0000 0.2379 0.0000
Ba2 0.0000 0.5706 0.5000
Cl1 0.0000 0.0000 0.5000
Cl2 0.3333 0.6667 0.0000
```

Output
Fermi-level density of states	3.5	states/eV/f.u.
theoretical density	3.8	Mg/m³
uncorrected energy	-2.794	eV/atom


DFT (PBE-GGA) results for a relaxed BaCl2 crystal.

Geometry as CIF:
```
data_BaCl2
_cell_length_a 4.578
_cell_length_b 4.578
_cell_length_c 39.609
_cell_angle_alpha 90.00
_cell_angle_beta 90.00
_cell_angle_gamma 90.00
_symmetry_space_group_name_H-M 'I 41/a m d'
_symmetry_Int_Tables_number 141
loop_
_symmetry_equiv_pos_as_xyz
'x,y,z'
'-x,-y,-z'
'-y+1/4,x+3/4,z+1/4'
'y+1/4,-x+3/4,-z+1/4'
'-x+1/2,-y,z+1/2'
'x+1/2,y,-z+1/2'
'y+1/4,-x+1/4,z+3/4'
'-y+1/4,x+1/4,-z+3/4'
'x,-y,-z'
'-x,y,z'
'-y+1/4,-x+1/4,-z+3/4'
'y+1/4,x+1/4,z+3/4'
'-x+1/2,y,-z+1/2'
'x+1/2,-y,z+1/2'
'y+1/4,x+3/4,-z+1/4'
'-y+1/4,-x+3/4,z+1/4'
'x+1/2,y+1/2,z+1/2'
'-x+1/2,-y+1/2,-z+1/2'
'-y+3/4,x+1/4,z+3/4'
'y+3/4,-x+1/4,-z+3/4'
'-x,-y+1/2,z'
'x,y+1/2,-z'
'y+3/4,-x+3/4,z+1/4'
'-y+3/4,x+3/4,-z+1/4'
'x+1/2,-y+1/2,-z+1/2'
'-x+1/2,y+1/2,z+1/2'
'-y+3/4,-x+3/4,-z+1/4'
'y+3/4,x+3/4,z+1/4'
'-x,y+1/2,-z'
'x,-y+1/2,z'
'y+3/4,x+1/4,-z+3/4'
'-y+3/4,-x+1/4,z+3/4'
loop_
_atom_site_label
_atom_site_fract_x
_atom_site_fract_y
_atom_site_fract_z
Ba1 0.000 0.250 0.322
Cl1 0.000 0.250 0.125
Cl2 0.000 0.250 0.795
```

Output
Fermi-level density of states	0.0	states/eV/f.u.
theoretical density	3.3	Mg/m³
uncorrected energy	-4.198	eV/atom


DFT (PBE-GGA) results for a relaxed BaCl2 crystal.

Geometry as CIF:
```
data_BaCl2
_cell_length_a 8.000
_cell_length_b 4.832
_cell_length_c 9.565
_cell_angle_alpha 90.00
_cell_angle_beta 90.00
_cell_angle_gamma 90.00
_symmetry_space_group_name_H-M 'P n m a'
_symmetry_Int_Tables_number 62
loop_
_symmetry_equiv_pos_as_xyz
'x,y,z'
'-x,-y,-z'
'-x+1/2,-y,z+1/2'
'x+1/2,y,-z+1/2'
'x+1/2,-y+1/2,-z+1/2'
'-x+1/2,y+1/2,z+1/2'
'-x,y+1/2,-z'
'x,-y+1/2,z'
loop_
_atom_site_label
_atom_site_fract_x
_atom_site_fract_y
_atom_site_fract_z
Ba1 0.247 0.250 0.112
Cl1 0.022 0.250 0.834
Cl2 0.142 0.250 0.426
```

Output
Fermi-level density of states	0.0	states/eV/f.u.
theoretical density	3.7	Mg/m³
uncorrected energy	-4.406	eV/atom


DFT (PBE-GGA) results for a relaxed Ba3Cl5 crystal.

Geometry as CIF:
```
data_Ba3Cl5
_cell_length_a 11.658
_cell_length_b 11.658
_cell_length_c 7.878
_cell_angle_alpha 90.00
_cell_angle_beta 90.00
_cell_angle_gamma 90.00
_symmetry_space_group_name_H-M 'I 4 c m'
_symmetry_Int_Tables_number 108
_symmetry_space_group_name_Hall 'I 4 -2c'
loop_
_atom_site_label
_atom_site_fract_x
_atom_site_fract_y
_atom_site_fract_z
Ba1 0.000 0.000 0.000
Ba2 0.152 0.348 0.249
Cl1 0.000 0.500 0.499
Cl2 0.081 0.203 0.750
```

Output
Fermi-level density of states	3.4	states/eV/f.u.
theoretical density	3.7	Mg/m³
uncorrected energy	-4.141	eV/atom


DFT (PBE-GGA) results for a relaxed BaCl5 crystal.

Geometry as CIF:
```
data_BaCl5
_cell_length_a 4.777
_cell_length_b 16.344
_cell_length_c 5.678
_cell_angle_alpha 90.00
_cell_angle_beta 114.71
_cell_angle_gamma 90.00
_symmetry_space_group_name_H-M 'P 1 21/m 1'
_symmetry_Int_Tables_number 11
loop_
_symmetry_equiv_pos_as_xyz
'x,y,z'
'-x,-y,-z'
'-x,y+1/2,-z'
'x,-y+1/2,z'
loop_
_atom_site_label
_atom_site_fract_x
_atom_site_fract_y
_atom_site_fract_z
Ba1 0.162 0.250 0.326
Cl1 0.105 0.549 0.138
Cl2 0.279 0.625 0.554
Cl3 0.465 0.250 0.931
```

Output
Fermi-level density of states	1.3	states/eV/f.u.
theoretical density	2.6	Mg/m³
uncorrected energy	-2.987	eV/atom